1.
Density functional theory data (PBE) for crystalline TiZnGaHg2 at its relaxed geometry.

Lattice parameters (Å, degrees): 5.1074 5.1074 4.5495 90.00 90.00 90.00
Closest atoms and distances in Å follow each position.
Space group P4/mmm (No. 123)
Symmetry-distinct sites (fractional):
Ti 0.0000 0.0000 0.0000 x1  8 Hg 3.42, 4 Zn 3.61
Zn 0.5000 0.5000 0.0000 x1  2 Ga 2.27
Ga 0.5000 0.5000 0.5000 x1  2 Zn 2.27
Hg 0.0000 0.5000 0.5000 x2  2 Ga 2.55

Properties
The final energy comes out at -0.0683 hartree per atom. For the formation energy, the calculation gives 3.51 eV per formula unit. The density of states at the Fermi level is 1.03 states/eV/atom.

=====

2.
Density functional theory data (PBE) for crystalline DyInGe at its relaxed geometry.

Lattice parameters (Å, degrees): 4.3167 4.3167 4.6341 90.00 90.00 120.00
Closest atoms and distances in Å follow each position.
Space group P3m1 (No. 156)
Symmetry-distinct sites (fractional):
Dy 0.0000 0.0000 0.0000 x1  3 Ge 2.91, 3 In 3.19
In 0.3333 0.6667 0.5697 x1  3 Ge 2.74
Ge 0.6667 0.3333 0.3232 x1  3 In 2.74, 3 Dy 2.91

Properties
The final energy comes out at -0.1627 hartree per atom. For the formation energy, the calculation gives -1.32 eV per formula unit. The density of states at the Fermi level is 0.13 states/eV/atom.

=====

3.
Density functional theory data (PBE) for crystalline Sc2AsO at its relaxed geometry.

Lattice parameters (Å, degrees): 4.1014 4.1014 19.3850 90.00 90.00 120.00
Closest atoms and distances in Å follow each position.
Space group R-3m (No. 166, hexagonal axes)
Symmetry-distinct sites (fractional):
Sc 0.0000 0.0000 0.0974 x6  1 O 1.89
As 0.0000 0.0000 0.5000 x3  6 Sc 2.72
O 0.0000 0.0000 0.0000 x3  2 Sc 1.89

Properties
Its formation energy (no corrections) is -7.3 eV per formula unit. The final energy comes out at -0.2717 hartree per atom. The value obtained for the energy above the most stable polymorph in this dataset is 62 meV per atom. The density of states at the Fermi level is 0.92 states/eV/atom.

=====

4.
Density functional theory data (PBE) for crystalline SrBePb2 at its relaxed geometry.

Lattice parameters (Å, degrees): 4.8383 4.8383 4.6874 90.00 90.00 90.00
Closest atoms and distances in Å follow each position.
Space group P4/mmm (No. 123)
Symmetry-distinct sites (fractional):
Sr 0.0000 0.0000 0.0000 x1  8 Pb 3.37, 4 Be 3.42
Be 0.5000 0.5000 0.0000 x1  8 Pb 3.37, 4 Sr 3.42
Pb 0.0000 0.5000 0.5000 x2  4 Be 3.37, 4 Sr 3.37, 4 Pb 3.42

Properties
The final energy comes out at -0.1120 hartree per atom. For the formation energy, the calculation gives 0.63 eV per formula unit. The density of states at the Fermi level is 0.56 states/eV/atom.

=====

5.
Density functional theory data (PBE) for crystalline TaTlTe3 at its relaxed geometry.

Lattice parameters (Å, degrees): 18.5346 5.1372 9.1272 90.00 106.30 90.00
Closest atoms and distances in Å follow each position.
Space group C2/m (No. 12)
Symmetry-distinct sites (fractional):
Ta 0.1618 0.0000 0.3272 x4  4 Te 2.56-2.82
Tl 0.1171 0.5000 0.7995 x4  6 Te 3.50-3.69
Te 0.0196 0.0000 0.2915 x4  1 Ta 2.56
Te 0.1865 0.0000 0.0634 x4  1 Ta 2.57
Te 0.1881 0.5000 0.4596 x4  3 Ta 2.82-2.91

Properties
Its formation energy (no corrections) is -0.6 eV per formula unit. The final energy comes out at -0.1785 hartree per atom. The value obtained for the energy above the most stable polymorph in this dataset is 0 meV per atom.

=====

6.
Density functional theory data (PBE) for crystalline PmCdRuAu at its relaxed geometry.

Lattice parameters (Å, degrees): 6.9063 6.9063 6.9063 90.00 90.00 90.00
Closest atoms and distances in Å follow each position.
Space group F-43m (No. 216)
Symmetry-distinct sites (fractional):
Pm 0.0000 0.0000 0.0000 x4  4 Ru 2.99, 4 Au 2.99
Cd 0.0000 0.0000 0.5000 x4  4 Au 2.99, 4 Ru 2.99
Ru 0.2500 0.2500 0.7500 x4  4 Cd 2.99, 4 Pm 2.99
Au 0.2500 0.2500 0.2500 x4  4 Pm 2.99, 4 Cd 2.99

Properties
The final energy comes out at -0.1728 hartree per atom. For the formation energy, the calculation gives -0.59 eV per formula unit. The density of states at the Fermi level is 0.45 states/eV/atom.

=====

7.
Density functional theory data (PBE) for crystalline Sm3Er at its relaxed geometry.

Lattice parameters (Å, degrees): 5.0927 5.0927 10.1530 90.00 90.00 90.00
Closest atoms and distances in Å follow each position.
Space group I4/mmm (No. 139)
Symmetry-distinct sites (fractional):
Sm 0.0000 0.0000 0.0000 x2  8 Sm 3.60, 4 Er 3.60
Sm 0.0000 0.5000 0.2500 x4  8 Sm 3.60, 4 Er 3.60
Er 0.0000 0.0000 0.5000 x2  12 Sm 3.60

Properties
The final energy comes out at -0.1714 hartree per atom. For the formation energy, the calculation gives 0.07 eV per formula unit. The value obtained for the energy above the most stable polymorph in this dataset is 0 meV per atom. The density of states at the Fermi level is 1.41 states/eV/atom.

=====

8.
Density functional theory data (PBE) for crystalline Tb10Sn3Te3 at its relaxed geometry.

Lattice parameters (Å, degrees): 9.0617 9.0617 6.3352 90.00 90.00 120.00
Closest atoms and distances in Å follow each position.
Space group P-62m (No. 189)
Symmetry-distinct sites (fractional):
Tb 0.0000 0.2474 0.0000 x3  3 Te 3.07-3.32, 2 Sn 3.42
Tb 0.0000 0.7547 0.5000 x3  3 Sn 3.10-3.30, 2 Te 3.41
Tb 0.3333 0.6667 0.2513 x4  2 Tb 3.15-3.18, 3 Sn 3.21, 3 Te 3.23
Sn 0.0000 0.3902 0.5000 x3  9 Tb 3.10-3.42
Te 0.0000 0.6139 0.0000 x3  9 Tb 3.07-3.41

Properties
Its formation energy (no corrections) is -13.8 eV per formula unit. The final energy comes out at -0.1873 hartree per atom. The density of states at the Fermi level is 0.95 states/eV/atom.

=====

9.
Density functional theory data (PBE) for crystalline YTl2Zn at its relaxed geometry.

Lattice parameters (Å, degrees): 4.4926 4.4926 21.6754 90.00 90.00 90.00
Closest atoms and distances in Å follow each position.
Space group I-42d (No. 122)
Symmetry-distinct sites (fractional):
Y 0.0000 0.0000 0.0000 x4  4 Tl 3.16, 4 Zn 3.18
Tl 0.2375 0.2500 0.6250 x8  4 Tl 3.10-3.26, 2 Zn 3.12, 2 Y 3.16
Zn 0.0000 0.0000 0.5000 x4  4 Tl 3.12, 4 Y 3.18

Properties
The final energy comes out at -0.1138 hartree per atom. For the formation energy, the calculation gives 0.09 eV per formula unit. The density of states at the Fermi level is 0.69 states/eV/atom.